No. 1
! PBE with a Hubbard U KCoO3, optimized geometry; values from VASP
&SYSTEM
  ibrav = 0, nat = 5, ntyp = 3
/
ATOMIC_SPECIES
K 39.10 K.upf
Co 58.93 Co.upf
O 16.00 O.upf
ATOMIC_POSITIONS angstrom
K 0.000 0.000 0.000
Co 1.904 1.904 1.904
O 0.000 1.904 1.904
O 1.904 0.000 1.904
O 1.904 1.904 0.000
CELL_PARAMETERS angstrom
3.809 0.000 0.000
0.000 3.809 0.000
0.000 0.000 3.809
! Fermi-level density of states ... 2.83 states/eV/cell
! M_tot ... 4.3 μB/cell
! Final energy ... -4.890 eV/atom

No. 2
! PBE with a Hubbard U K10Co4O9, optimized geometry; values from VASP
&SYSTEM
  ibrav = 0, nat = 23, ntyp = 3
/
ATOMIC_SPECIES
K 39.10 K.upf
Co 58.93 Co.upf
O 16.00 O.upf
ATOMIC_POSITIONS angstrom
K 0.000 0.000 0.000
K 1.710 10.721 3.524
K 2.450 7.507 2.479
K 4.893 7.057 5.477
K 3.049 4.211 1.028
K 5.066 9.956 3.512
K 6.569 11.713 6.445
K 5.825 6.748 2.176
K 6.542 3.449 1.068
K 8.238 4.916 4.636
Co 3.597 10.549 6.316
Co 4.650 3.947 4.027
Co 3.502 1.078 0.508
Co 8.101 8.039 5.474
O 3.034 9.003 5.338
O 1.091 6.053 0.553
O 3.459 12.066 5.178
O 1.853 1.794 0.778
O 3.820 5.422 3.361
O 4.389 8.717 1.028
O 6.303 3.218 3.825
O 8.007 6.838 6.896
O 7.023 8.242 4.037
CELL_PARAMETERS angstrom
6.762 0.000 0.000
0.070 9.174 0.000
3.300 4.514 7.391
! M_tot ... 11.9 μB/cell
! Final energy ... -4.511 eV/atom

No. 3
! PBE with a Hubbard U KCoO2, optimized geometry; values from VASP
&SYSTEM
  ibrav = 0, nat = 8, ntyp = 3
/
ATOMIC_SPECIES
K 39.10 K.upf
Co 58.93 Co.upf
O 16.00 O.upf
ATOMIC_POSITIONS angstrom
K 0.000 0.000 0.000
K 0.000 2.917 1.766
Co 2.917 0.000 1.766
Co 0.000 0.000 3.532
O 1.345 -0.724 2.452
O 2.193 1.573 1.080
O 1.573 3.642 -1.080
O 0.724 1.345 4.612
CELL_PARAMETERS angstrom
-2.917 2.917 3.532
2.917 -2.917 3.532
2.917 2.917 -3.532
! Fermi-level density of states ... 0.00 states/eV/cell
! M_tot ... 6.0 μB/cell
! Final energy ... -5.205 eV/atom

No. 4
! PBE with a Hubbard U K4Co2O5, optimized geometry; values from VASP
&SYSTEM
  ibrav = 0, nat = 22, ntyp = 3
/
ATOMIC_SPECIES
K 39.10 K.upf
Co 58.93 Co.upf
O 16.00 O.upf
ATOMIC_POSITIONS angstrom
K 0.000 0.000 2.305
K 0.000 0.000 7.981
K 0.000 3.582 2.571
K 0.000 3.582 7.714
K 3.582 0.000 2.571
K 3.582 0.000 7.714
K 3.582 3.582 2.838
K 3.582 3.582 7.448
Co 1.266 1.266 5.143
Co 2.316 4.849 0.000
Co 4.849 2.316 0.000
Co 5.899 5.899 5.143
O 0.000 0.000 5.143
O 1.722 1.722 3.532
O 1.722 1.722 6.754
O 1.861 5.304 1.611
O 1.861 5.304 8.675
O 3.582 3.582 0.000
O 5.304 1.861 1.611
O 5.304 1.861 8.675
O 5.443 5.443 3.532
O 5.443 5.443 6.754
CELL_PARAMETERS angstrom
7.165 0.000 0.000
0.000 7.165 0.000
0.000 0.000 10.286
! M_tot ... 12.1 μB/cell
! Final energy ... -4.798 eV/atom

No. 5
! PBE with a Hubbard U K3CoO4, optimized geometry; values from VASP
&SYSTEM
  ibrav = 0, nat = 32, ntyp = 3
/
ATOMIC_SPECIES
K 39.10 K.upf
Co 58.93 Co.upf
O 16.00 O.upf
ATOMIC_POSITIONS angstrom
K 0.276 0.317 1.797
K 0.276 4.258 1.797
K 1.321 6.864 3.589
K 2.511 2.288 7.623
K 3.556 4.893 5.831
K 3.556 8.834 5.831
K 4.107 0.317 2.237
K 4.107 4.258 2.237
K 5.152 6.864 0.446
K 6.342 2.288 4.480
K 7.387 4.893 6.271
K 7.387 8.834 6.271
Co 1.704 6.864 7.985
Co 2.127 2.288 3.950
Co 5.536 6.864 4.118
Co 5.959 2.288 0.084
O 0.202 6.864 0.811
O 1.436 0.735 4.314
O 1.436 3.840 4.314
O 1.676 6.864 6.232
O 2.156 2.288 2.198
O 2.396 5.311 0.280
O 2.396 8.416 0.280
O 3.630 2.288 4.845
O 4.033 6.864 3.224
O 5.267 0.735 7.789
O 5.267 3.840 7.789
O 5.507 6.864 5.870
O 5.987 2.288 1.836
O 6.227 5.311 3.755
O 6.227 8.416 3.755
O 7.461 2.288 7.258
CELL_PARAMETERS angstrom
7.663 0.000 0.000
0.000 9.152 0.000
0.000 0.000 8.068
! M_tot ... 16.0 μB/cell
! Final energy ... -4.728 eV/atom

No. 6
! PBE with a Hubbard U K4CoO4, optimized geometry; values from VASP
&SYSTEM
  ibrav = 0, nat = 9, ntyp = 3
/
ATOMIC_SPECIES
K 39.10 K.upf
Co 58.93 Co.upf
O 16.00 O.upf
ATOMIC_POSITIONS angstrom
K 3.165 0.000 0.000
K 0.000 0.000 2.311
K 0.000 3.165 0.000
K 0.000 0.000 8.659
Co 0.000 0.000 5.485
O 1.050 -1.050 4.420
O 2.116 2.116 1.065
O -1.050 1.050 4.420
O 1.050 1.050 6.551
CELL_PARAMETERS angstrom
-3.165 3.165 5.485
3.165 -3.165 5.485
3.165 3.165 -5.485
! Excess energy over the best structure of this formula in the dataset ... 47.3 meV per atom
! M_tot ... 5.0 μB/cell

No. 7
! PBE with a Hubbard U KCo2OsO8, optimized geometry; values from VASP
&SYSTEM
  ibrav = 0, nat = 12, ntyp = 4
/
ATOMIC_SPECIES
K 39.10 K.upf
Co 58.93 Co.upf
Os 190.23 Os.upf
O 16.00 O.upf
ATOMIC_POSITIONS angstrom
K 0.000 0.000 0.000
Co 2.365 2.403 2.325
Co 2.468 2.421 5.107
Os 0.028 0.071 3.716
O 1.037 3.808 5.040
O 1.065 3.867 2.365
O 1.377 1.422 3.746
O 1.947 2.009 0.409
O 2.886 2.815 7.023
O 3.456 3.402 3.686
O 3.768 0.957 5.067
O 3.796 1.016 2.392
CELL_PARAMETERS angstrom
4.680 0.000 0.000
0.097 4.681 0.000
0.057 0.143 7.432
! Fermi-level density of states ... 1.18 states/eV/cell
! M_tot ... 6.9 μB/cell
! Final energy ... -6.070 eV/atom

No. 8
! PBE with a Hubbard U K2CoOsO6, optimized geometry; values from VASP
&SYSTEM
  ibrav = 0, nat = 10, ntyp = 4
/
ATOMIC_SPECIES
K 39.10 K.upf
Co 58.93 Co.upf
Os 190.23 Os.upf
O 16.00 O.upf
ATOMIC_POSITIONS angstrom
K 0.000 3.450 1.500
K 2.988 1.725 3.398
Co 0.000 0.000 2.449
Os 0.000 0.000 0.000
O 0.000 1.483 3.674
O -1.704 4.434 3.674
O 1.284 0.741 1.224
O 1.704 4.434 3.674
O 4.692 0.741 1.224
O 2.988 3.693 1.224
CELL_PARAMETERS angstrom
5.976 0.000 0.000
-2.988 5.176 0.000
0.000 0.000 4.898
! Fermi-level density of states ... 5.89 states/eV/cell
! M_tot ... 1.0 μB/cell
! Final energy ... -6.000 eV/atom

No. 9
! PBE with a Hubbard U K3CoOs2O9, optimized geometry; values from VASP
&SYSTEM
  ibrav = 0, nat = 15, ntyp = 4
/
ATOMIC_SPECIES
K 39.10 K.upf
Co 58.93 Co.upf
Os 190.23 Os.upf
O 16.00 O.upf
ATOMIC_POSITIONS angstrom
K 0.000 0.000 0.000
K 0.000 3.229 4.550
K 2.796 1.614 2.336
Co 0.000 0.000 3.443
Os 0.000 3.229 1.169
Os 2.796 1.614 5.717
O -1.398 2.422 0.000
O 0.000 1.677 2.206
O -1.344 4.005 2.206
O 1.452 0.838 4.680
O 2.796 0.000 0.000
O 1.398 2.422 0.000
O 1.344 4.005 2.206
O 4.140 0.838 4.680
O 2.796 3.167 4.680
CELL_PARAMETERS angstrom
5.593 0.000 0.000
-2.796 4.843 0.000
0.000 0.000 6.886
! Fermi-level density of states ... 6.50 states/eV/cell
! M_tot ... 3.7 μB/cell
! Final energy ... -6.273 eV/atom

No. 10
! PBE with a Hubbard U K3Co2OsO6, optimized geometry; values from VASP
&SYSTEM
  ibrav = 0, nat = 12, ntyp = 4
/
ATOMIC_SPECIES
K 39.10 K.upf
Co 58.93 Co.upf
Os 190.23 Os.upf
O 16.00 O.upf
ATOMIC_POSITIONS angstrom
K 0.000 0.000 0.000
K 2.762 1.675 0.000
K 2.762 -1.675 0.000
Co 1.858 3.220 2.995
Co 1.858 -3.220 2.995
Os 1.858 0.000 2.995
O 0.978 1.493 1.950
O 0.161 0.000 4.087
O 0.978 -1.493 1.950
O 2.737 1.493 4.040
O 3.554 0.000 1.903
O 2.737 -1.493 4.040
CELL_PARAMETERS angstrom
2.762 -4.830 0.000
2.762 4.830 0.000
-1.808 0.000 5.990
! M_tot ... 9.0 μB/cell
! Final energy ... -5.699 eV/atom

No. 11
! PBE with a Hubbard U KCo4P3O12, optimized geometry; values from VASP
&SYSTEM
  ibrav = 0, nat = 80, ntyp = 4
/
ATOMIC_SPECIES
K 39.10 K.upf
Co 58.93 Co.upf
P 30.97 P.upf
O 16.00 O.upf
ATOMIC_POSITIONS angstrom
K 1.995 0.593 0.000
K 2.883 8.940 3.106
K 6.873 7.753 3.106
K 7.761 16.100 0.000
Co 0.176 2.334 3.106
Co 0.343 9.863 0.000
Co 2.427 13.311 1.548
Co 2.427 13.311 4.664
Co 2.451 4.965 1.558
Co 2.451 4.965 4.654
Co 4.535 1.517 3.106
Co 4.702 10.680 0.000
Co 5.053 6.013 0.000
Co 5.221 15.177 3.106
Co 7.304 11.729 1.558
Co 7.304 11.729 4.654
Co 7.329 3.382 1.548
Co 7.329 3.382 4.664
Co 9.412 6.830 0.000
Co 9.580 14.360 3.106
P 0.390 11.127 3.106
P 0.427 3.651 0.000
P 2.032 16.076 3.106
P 2.846 7.730 0.000
P 4.450 11.997 3.106
P 4.487 2.781 0.000
P 5.268 13.913 0.000
P 5.305 4.696 3.106
P 6.910 8.963 0.000
P 7.723 0.617 3.106
P 9.328 13.042 0.000
P 9.365 5.566 3.106
O 0.850 10.378 1.851
O 0.850 10.378 4.361
O 0.975 2.997 1.285
O 0.975 2.997 4.927
O 1.061 5.116 0.000
O 1.072 12.583 3.106
O 1.123 12.927 0.000
O 1.166 5.386 3.106
O 1.304 7.997 0.000
O 1.358 0.744 3.106
O 1.609 15.217 1.864
O 1.609 15.217 4.348
O 3.269 6.870 1.242
O 3.269 6.870 4.970
O 3.520 9.091 0.000
O 3.574 16.343 3.106
O 3.712 13.733 0.000
O 3.755 4.580 3.106
O 3.805 4.237 0.000
O 3.816 13.463 3.106
O 3.903 11.344 1.821
O 3.903 11.344 4.391
O 4.028 2.032 1.255
O 4.028 2.032 4.957
O 5.728 14.661 1.255
O 5.728 14.661 4.957
O 5.853 5.349 1.821
O 5.853 5.349 4.391
O 5.939 3.230 3.106
O 5.950 12.456 0.000
O 6.001 12.113 3.106
O 6.044 2.960 0.000
O 6.182 0.350 3.106
O 6.235 7.603 0.000
O 6.486 9.823 1.242
O 6.486 9.823 4.970
O 8.147 1.477 1.864
O 8.147 1.477 4.348
O 8.398 15.949 3.106
O 8.451 8.697 0.000
O 8.590 11.307 3.106
O 8.632 3.766 0.000
O 8.683 4.110 3.106
O 8.694 11.577 0.000
O 8.781 13.696 1.285
O 8.781 13.696 4.927
O 8.906 6.315 1.851
O 8.906 6.315 4.361
CELL_PARAMETERS angstrom
9.755 0.000 0.000
0.000 16.693 0.000
0.000 0.000 6.212
! Fermi-level density of states ... 0.00 states/eV/cell
! M_tot ... 48.0 μB/cell
! Final energy ... -6.708 eV/atom

No. 12
! PBE with a Hubbard U KCo2P2O8, optimized geometry; values from VASP
&SYSTEM
  ibrav = 0, nat = 52, ntyp = 4
/
ATOMIC_SPECIES
K 39.10 K.upf
Co 58.93 Co.upf
P 30.97 P.upf
O 16.00 O.upf
ATOMIC_POSITIONS angstrom
K 3.291 3.436 6.893
K 8.396 3.436 6.224
K 3.962 -3.436 2.521
K 9.066 -3.436 1.851
Co 0.581 0.868 7.738
Co 1.251 -0.868 3.366
Co 5.194 1.687 3.946
Co 7.834 1.687 0.426
Co 4.523 -1.687 8.319
Co 7.164 -1.687 4.799
Co 11.106 0.868 5.379
Co 11.777 -0.868 1.007
P 5.151 4.864 4.161
P 7.876 4.864 0.211
P 4.724 0.967 0.743
P 4.054 -0.967 5.115
P 8.304 0.967 3.629
P 7.633 -0.967 8.002
P 4.481 -4.864 8.534
P 7.206 -4.864 4.584
O 0.875 1.580 5.994
O 0.997 1.007 3.506
O 6.331 4.934 0.130
O 4.686 3.426 4.544
O 2.161 1.472 8.694
O 6.696 4.934 4.242
O 0.327 -1.007 7.878
O 1.545 -1.580 1.622
O 4.550 1.494 2.190
O 4.174 0.576 5.125
O 5.983 1.585 0.063
O 7.001 3.426 8.573
O 2.831 -1.472 4.321
O 4.844 -0.576 0.753
O 7.044 1.585 4.309
O 3.880 -1.494 6.562
O 8.478 1.494 2.183
O 5.313 -1.585 4.436
O 7.513 0.576 7.992
O 9.526 1.472 4.423
O 5.357 -3.426 0.171
O 6.374 -1.585 8.682
O 8.183 -0.576 3.619
O 7.807 -1.494 6.555
O 10.812 1.580 7.123
O 12.030 1.007 0.867
O 5.661 -4.934 4.502
O 10.197 -1.472 0.051
O 7.671 -3.426 4.201
O 6.026 -4.934 8.615
O 11.360 -1.007 5.239
O 11.482 -1.580 2.750
CELL_PARAMETERS angstrom
6.849 -6.785 0.000
6.849 6.785 0.000
-1.340 0.000 8.745
! Fermi-level density of states ... 13.82 states/eV/cell
! M_tot ... 28.0 μB/cell
! Final energy ... -6.630 eV/atom